Entry 1:
Below is an optimized crystal structure of Rb3Mg2Br2Cl5, with properties calculated at the GGA-PBE level. Values from VASP.

Structure (Quantum ESPRESSO input):
```
&SYSTEM
  ibrav = 0, nat = 12, ntyp = 4
/
ATOMIC_SPECIES
Br 79.90 Br.upf
Cl 35.45 Cl.upf
Mg 24.30 Mg.upf
Rb 85.47 Rb.upf
CELL_PARAMETERS angstrom
-4.960 -1.121 -0.057
1.097 -4.896 0.827
1.295 5.139 13.075
ATOMIC_POSITIONS crystal
Br 0.692 0.692 0.383
Cl 0.592 0.092 0.183
Cl 0.500 0.500 0.000
Mg 0.407 0.407 0.813
Rb 0.821 0.821 0.642
Cl 0.092 0.592 0.183
Cl 0.908 0.408 0.817
Mg 0.593 0.593 0.187
Rb 0.179 0.179 0.358
Rb 0.000 0.000 0.000
Cl 0.408 0.908 0.817
Br 0.308 0.308 0.617
```

**Space group**: I4/mmm (139)
**Uncorrected energy**: -3.4024 eV per atom
**Fermi-level density of states**: 0.00 states/eV per cell

Entry 2:
Below is an optimized crystal structure of RbMgBrCl2, with properties calculated at the GGA-PBE level. Values from VASP.

Structure (Quantum ESPRESSO input):
```
&SYSTEM
  ibrav = 0, nat = 5, ntyp = 4
/
ATOMIC_SPECIES
Cl 35.45 Cl.upf
Rb 85.47 Rb.upf
Mg 24.30 Mg.upf
Br 79.90 Br.upf
CELL_PARAMETERS angstrom
5.056 0.000 0.000
0.000 5.056 0.000
0.000 0.000 5.429
ATOMIC_POSITIONS crystal
Cl 0.500 0.000 0.000
Rb 0.500 0.500 0.500
Cl 0.000 0.500 0.000
Mg 0.000 0.000 0.000
Br 0.000 0.000 0.500
```

**Relative energy among the computed polymorphs**: 0 meV/atom
**Space group**: P4/mmm (123)
**Fermi-level density of states**: 0.00 states/eV per cell

Entry 3:
Below is an optimized crystal structure of Rb2MgBr6Cl, with properties calculated at the GGA-PBE level. Values from VASP.

Structure (Quantum ESPRESSO input):
```
&SYSTEM
  ibrav = 0, nat = 10, ntyp = 4
/
ATOMIC_SPECIES
Cl 35.45 Cl.upf
Br 79.90 Br.upf
Rb 85.47 Rb.upf
Mg 24.30 Mg.upf
CELL_PARAMETERS angstrom
-1.673 -6.312 5.355
6.388 2.490 4.931
-0.977 1.273 7.854
ATOMIC_POSITIONS crystal
Cl 0.000 0.000 0.000
Br 0.774 0.774 0.451
Br 0.715 0.715 0.000
Br 0.285 0.285 0.000
Rb 0.250 0.750 0.500
Br 0.226 0.226 0.549
Rb 0.750 0.250 0.500
Mg 0.500 0.500 0.000
Br 0.285 0.715 0.000
Br 0.715 0.285 0.000
```

**Space group**: I4/mmm (139)
**Uncorrected energy**: -2.5298 eV per atom
**Fermi-level density of states**: 13.77 states/eV per cell

Entry 4:
Below is an optimized crystal structure of RbMgBrCl2, with properties calculated at the GGA-PBE level. Values from VASP.

Structure (Quantum ESPRESSO input):
```
&SYSTEM
  ibrav = 0, nat = 10, ntyp = 4
/
ATOMIC_SPECIES
Br 79.90 Br.upf
Cl 35.45 Cl.upf
Mg 24.30 Mg.upf
Rb 85.47 Rb.upf
CELL_PARAMETERS angstrom
4.276 0.000 0.000
-2.138 8.492 0.000
0.000 0.000 8.365
ATOMIC_POSITIONS crystal
Br 0.500 0.000 0.250
Cl 0.862 0.725 0.998
Cl 0.862 0.725 0.502
Mg 0.000 0.000 0.000
Br 0.500 0.000 0.750
Rb 0.288 0.575 0.250
Mg 0.000 0.000 0.500
Rb 0.712 0.425 0.750
Cl 0.138 0.275 0.002
Cl 0.138 0.275 0.498
```

**Relative energy among the computed polymorphs**: 80 meV/atom
**Space group**: Cmcm (63)
**Fermi-level density of states**: 0.00 states/eV per cell

Entry 5:
Below is an optimized crystal structure of Mg2RhBrCl, with properties calculated at the GGA-PBE level. Values from VASP.

Structure (Quantum ESPRESSO input):
```
&SYSTEM
  ibrav = 0, nat = 5, ntyp = 4
/
ATOMIC_SPECIES
Mg 24.30 Mg.upf
Br 79.90 Br.upf
Rh 102.91 Rh.upf
Cl 35.45 Cl.upf
CELL_PARAMETERS angstrom
-2.282 3.575 -1.941
-3.147 0.673 4.940
3.217 2.948 1.648
ATOMIC_POSITIONS crystal
Mg 0.500 0.000 0.000
Br 0.000 0.500 0.000
Mg 0.000 0.000 0.500
Rh 0.500 0.500 0.500
Cl 0.000 0.000 0.000
```

**Space group**: P4/mmm (123)
**Uncorrected energy**: -2.4372 eV per atom
**Fermi-level density of states**: 3.09 states/eV per cell

Entry 6:
Below is an optimized crystal structure of Mg2RuBrCl, with properties calculated at the GGA-PBE level. Values from VASP.

Structure (Quantum ESPRESSO input):
```
&SYSTEM
  ibrav = 0, nat = 5, ntyp = 4
/
ATOMIC_SPECIES
Cl 35.45 Cl.upf
Mg 24.30 Mg.upf
Ru 101.07 Ru.upf
Br 79.90 Br.upf
CELL_PARAMETERS angstrom
-2.455 3.302 3.205
0.890 -2.629 3.390
4.478 2.551 0.803
ATOMIC_POSITIONS crystal
Cl 0.000 0.500 0.000
Mg 0.500 0.000 0.000
Ru 0.000 0.000 0.000
Br 0.500 0.500 0.500
Mg 0.000 0.000 0.500
```

**Space group**: P4/mmm (123)
**Uncorrected energy**: -3.3652 eV per atom
**Fermi-level density of states**: 2.16 states/eV per cell

Entry 7:
Below is an optimized crystal structure of MgSBrCl2, with properties calculated at the GGA-PBE level. Values from VASP.

Structure (Quantum ESPRESSO input):
```
&SYSTEM
  ibrav = 0, nat = 5, ntyp = 4
/
ATOMIC_SPECIES
Mg 24.30 Mg.upf
Cl 35.45 Cl.upf
Br 79.90 Br.upf
S 32.06 S.upf
CELL_PARAMETERS angstrom
-3.217 -3.919 -0.343
0.254 -0.649 5.034
-4.032 3.254 0.623
ATOMIC_POSITIONS crystal
Mg 0.500 0.500 0.500
Cl 0.500 0.000 0.000
Cl 0.000 0.500 0.000
Br 0.000 0.000 0.000
S 0.000 0.000 0.500
```

**Relative energy among the computed polymorphs**: 607 meV/atom
**Space group**: P4/mmm (123)
**Fermi-level density of states**: 1.99 states/eV per cell

Entry 8:
Below is an optimized crystal structure of MgSBrCl2, with properties calculated at the GGA-PBE level. Values from VASP.

Structure (Quantum ESPRESSO input):
```
&SYSTEM
  ibrav = 0, nat = 5, ntyp = 4
/
ATOMIC_SPECIES
Cl 35.45 Cl.upf
S 32.06 S.upf
Br 79.90 Br.upf
Mg 24.30 Mg.upf
CELL_PARAMETERS angstrom
-2.140 -3.995 0.617
2.864 -1.005 3.422
-3.841 2.675 4.000
ATOMIC_POSITIONS crystal
Cl 0.000 0.500 0.000
S 0.000 0.000 0.500
Br 0.500 0.500 0.500
Mg 0.000 0.000 0.000
Cl 0.500 0.000 0.000
```

**Relative energy among the computed polymorphs**: 0 meV/atom
**Space group**: P4/mmm (123)
**Fermi-level density of states**: 4.56 states/eV per cell